Computed, not measured: an optimized crystal structure of SmBi2P2Pd7 at the PBE level of DFT.

```
SmBi2P2Pd7
1.0
4.5458 -0.2865 -0.2788
-0.2810 4.5461 -0.2788
1.2861 1.2846 11.3447
Pd Bi Sm P
7 2 1 2
Cartesian
1.9573 3.9477 2.0081
2.0620 2.0594 4.2324
1.6009 3.5916 8.7790
3.4889 3.4847 6.5547
3.5936 1.5965 8.7790
2.1324 2.1298 -0.2788
3.9500 1.9525 2.0081
1.4316 1.4299 6.9054
4.1193 4.1143 3.8817
0.0000 0.0000 0.0000
3.9624 3.9575 8.8571
1.5885 1.5866 1.9299
```

Calculated values
- SG: C2/m (12)


Computed, not measured: an optimized crystal structure of SnBi2P2Pd7 at the PBE level of DFT.

```
SnBi2P2Pd7
1.0
3.9713 -0.0027 0.0191
0.0022 3.9713 0.0191
1.9061 1.9037 14.9330
Pd Sn Bi P
7 1 2 2
Cartesian
3.9627 1.9735 2.1667
3.9012 1.9121 12.8045
1.9784 3.9603 2.1667
3.9258 3.9211 9.2200
1.9537 1.9513 5.7512
1.9867 1.9843 0.0191
1.9168 3.8988 12.8045
0.0000 0.0000 0.0000
1.9402 1.9378 8.6249
3.9394 3.9346 6.3463
1.9705 1.9681 3.4468
3.9091 3.9043 11.5244
```

Calculated values
- SG: I4/mmm (139)


Number 1: formation energy from the elements -0.511 eV per atom. Number 2: formation energy from the elements -0.407 eV per atom.